No. 1
A plane-wave DFT calculation with PBE-GGA was carried out for an optimized crystal structure of Nd6Sm3Er.

a = 6.7022 Å, b = 6.7022 Å, c = 9.1885 Å
α = 104.40°, β = 104.40°, γ = 62.08°
Closest atoms and distances in Å follow each position.
Atoms (fractional coordinates):
Nd1 0.0732 0.5488 0.1993  3 Sm 3.21-3.52, 2 Nd 3.29-3.53
Nd2 0.1243 0.1243 0.4180  7 Nd 3.59-4.01, 1 Er 3.69, 2 Sm 3.90
Nd3 0.4512 0.9268 0.8007  3 Sm 3.21-3.52, 2 Nd 3.29-3.53
Nd4 0.5488 0.0732 0.1993  3 Sm 3.21-3.52, 2 Nd 3.29-3.53
Nd5 0.8757 0.8757 0.5820  7 Nd 3.59-4.01, 1 Er 3.69, 2 Sm 3.90
Nd6 0.9268 0.4512 0.8007  3 Sm 3.21-3.52, 2 Nd 3.29-3.53
Sm1 0.4258 0.4258 0.8310  2 Sm 3.08-3.39, 2 Nd 3.21
Sm2 0.5000 0.5000 0.5000  2 Sm 3.39, 4 Nd 3.40
Sm3 0.5742 0.5742 0.1690  2 Sm 3.08-3.39, 2 Nd 3.21
Er1 0.0000 0.0000 0.0000  10 Nd 3.69-3.88, 4 Sm 3.78

Computed properties:
* excess energy over the best structure of this formula in the dataset: 0.79 eV/f.u.
* volume: 349.0 Å³/cell

No. 2
A plane-wave DFT calculation with PBE-GGA was carried out for an optimized crystal structure of Nd3Sm2Er2.

a = 9.0334 Å, b = 9.0334 Å, c = 8.6212 Å
α = 118.26°, β = 118.26°, γ = 22.59°
Closest atoms and distances in Å follow each position.
Atoms (fractional coordinates):
Nd1 0.0000 0.0000 0.0000  4 Nd 3.39-3.54, 2 Er 3.55, 4 Sm 3.62
Nd2 0.2130 0.2130 0.2964  5 Nd 3.39-3.57, 3 Sm 3.50-3.68, 3 Er 3.61-3.62
Nd3 0.7870 0.7870 0.7036  5 Nd 3.39-3.57, 3 Sm 3.50-3.68, 3 Er 3.61-3.62
Sm1 0.4353 0.4353 0.5886  3 Sm 3.31-3.54, 5 Nd 3.50-3.68, 2 Er 3.63
Sm2 0.5647 0.5647 0.4114  3 Sm 3.31-3.54, 5 Nd 3.50-3.68, 2 Er 3.63
Er1 0.1464 0.1464 0.8294  4 Er 3.54-3.85, 4 Nd 3.55-3.62, 4 Sm 3.63-3.73
Er2 0.8536 0.8536 0.1706  4 Er 3.54-3.85, 4 Nd 3.55-3.62, 4 Sm 3.63-3.73

Computed properties:
* volume: 236.6 Å³/cell

No. 3
A plane-wave DFT calculation with PBE-GGA was carried out for an optimized crystal structure of Nd3Sm2Er.

a = 6.3243 Å, b = 6.3243 Å, c = 11.7383 Å
α = 90.00°, β = 90.00°, γ = 59.96°
Closest atoms and distances in Å follow each position.
Atoms (fractional coordinates):
Nd1 0.0000 0.0000 0.0000  2 Er 3.61, 4 Sm 3.61, 6 Nd 3.64-3.67
Nd2 0.0000 0.0000 0.5000  2 Er 3.61, 4 Sm 3.61, 6 Nd 3.64-3.67
Nd3 0.3348 0.3348 0.0000  2 Er 3.60, 4 Sm 3.61-3.62, 6 Nd 3.62-3.67
Nd4 0.3348 0.3348 0.5000  2 Er 3.60, 4 Sm 3.61-3.62, 6 Nd 3.62-3.67
Nd5 0.6652 0.6652 0.0000  2 Er 3.60, 4 Sm 3.61-3.62, 6 Nd 3.62-3.67
Nd6 0.6652 0.6652 0.5000  2 Er 3.60, 4 Sm 3.61-3.62, 6 Nd 3.62-3.67
Sm1 0.0009 0.3330 0.2500  6 Nd 3.61-3.62, 3 Sm 3.65-3.66, 3 Er 3.65
Sm2 0.3330 0.0009 0.7500  6 Nd 3.61-3.62, 3 Sm 3.65-3.66, 3 Er 3.65
Sm3 0.6670 0.9991 0.2500  6 Nd 3.61-3.62, 3 Sm 3.65-3.66, 3 Er 3.65
Sm4 0.9991 0.6670 0.7500  6 Nd 3.61-3.62, 3 Sm 3.65-3.66, 3 Er 3.65
Er1 0.3336 0.6664 0.2500  6 Nd 3.60-3.61, 6 Sm 3.65
Er2 0.6664 0.3336 0.7500  6 Nd 3.60-3.61, 6 Sm 3.65

Computed properties:
* excess energy over the best structure of this formula in the dataset: 0.00 eV/f.u.
* volume: 406.4 Å³/cell

No. 4
A plane-wave DFT calculation with PBE-GGA was carried out for an optimized crystal structure of Nd2SmEr.

a = 5.1328 Å, b = 5.1328 Å, c = 5.1027 Å
α = 90.00°, β = 90.00°, γ = 90.00°
Closest atoms and distances in Å follow each position.
Atoms (fractional coordinates):
Nd1 0.0000 0.5000 0.0000  4 Er 3.62, 4 Sm 3.62, 4 Nd 3.63
Nd2 0.5000 0.0000 0.0000  4 Er 3.62, 4 Sm 3.62, 4 Nd 3.63
Sm1 0.0000 0.0000 0.5000  8 Nd 3.62, 4 Er 3.63
Er1 0.5000 0.5000 0.5000  8 Nd 3.62, 4 Sm 3.63

Computed properties:
* excess energy over the best structure of this formula in the dataset: 0.01 eV/f.u.
* volume: 134.4 Å³/cell

no.,ΔH_f (0 K) (meV/atom)
1,215
2,115
3,-3
4,17